This record from the Alexandria database describes crystalline CrSnO2 at its relaxed geometry. The functional is PBE with a Hubbard U.

Geometry as POSCAR:
```
CrSnO2
1.0
5.2670 -2.7866 0.0000
5.2670 2.7866 0.0000
-2.0417 0.0000 4.4271
Cr Sn O
2 2 4
direct
0.0000 0.0000 0.0000
0.7435 0.7435 0.1160
0.2542 0.2542 0.7799
0.5538 0.5538 0.4456
0.1446 0.6433 0.1510
0.3473 0.8567 0.8571
0.6433 0.1446 0.1510
0.8567 0.3473 0.8571
```

Computed properties:
As for the space-group type: Cm, No. 8. As for the electronic total energy: -0.4917 Ry/atom. For the volume, the calculation gives 129.96 Å³/cell. The value obtained for the relative energy among the computed polymorphs is 180.7 meV per atom. The value obtained for the density of states at the Fermi level is 0.000 states/eV per atom.